## SiPCl2 (GGA-PBE)

Data for SiPCl2 after structural relaxation.

Results
The calculation puts the excess energy over the best structure of this formula in the dataset at 883 meV per atom. The density of states at the Fermi level comes out at 1.57 states/eV/cell.

POSCAR file:
```
SiPCl2
1.0
3.1447 0.0000 0.0000
0.0000 5.5943 0.0000
0.0000 0.0000 4.3047
Cl P Si
2 1 1
direct
0.0000 0.0000 0.0000 Cl
0.5000 0.5000 0.0000 Cl
0.5000 0.0000 0.5000 P
0.0000 0.5000 0.5000 Si
```

---

## SiPCl2 (GGA-PBE)

Data for SiPCl2 after structural relaxation.

Results
The calculation puts the excess energy over the best structure of this formula in the dataset at 1224 meV per atom. The density of states at the Fermi level comes out at 2.83 states/eV/cell.

POSCAR file:
```
SiPCl2
1.0
0.0000 3.3567 3.3567
3.3567 0.0000 3.3567
3.3567 3.3567 0.0000
P Si Cl
1 1 2
direct
0.5000 0.5000 0.5000 P
0.0000 0.0000 0.0000 Si
0.2500 0.2500 0.2500 Cl
0.7500 0.7500 0.7500 Cl
```

---

## SiP3Cl (GGA-PBE)

Data for SiP3Cl after structural relaxation.

Results
The calculation puts the excess energy over the best structure of this formula in the dataset at 0 meV per atom. The density of states at the Fermi level comes out at 1.06 states/eV/cell.

POSCAR file:
```
SiP3Cl
1.0
-0.8035 4.4927 0.0416
-4.4314 -0.7995 0.7451
0.7408 0.0908 4.5028
P Si Cl
3 1 1
direct
0.0000 0.5000 0.0000 P
0.0000 0.0000 0.5000 P
0.5000 0.0000 0.0000 P
0.0000 0.0000 0.0000 Si
0.5000 0.5000 0.5000 Cl
```

---

## Si4PCl (GGA-PBE)

Data for Si4PCl after structural relaxation.

Results
The total energy comes out at -4.140 eV/atom. The density of states at the Fermi level comes out at 1.73 states/eV/cell.

POSCAR file:
```
Si4PCl
1.0
0.0000 3.6785 3.6785
3.6785 0.0000 3.6785
3.6785 3.6785 0.0000
Si P Cl
4 1 1
direct
0.8742 0.3753 0.3753 Si
0.3753 0.3753 0.8742 Si
0.3753 0.8742 0.3753 Si
0.3753 0.3753 0.3753 Si
0.0000 0.0000 0.0000 P
0.7500 0.7500 0.7500 Cl
```

---

## SiPCl2 (GGA-PBE)

Data for SiPCl2 after structural relaxation.

Results
The calculation puts the excess energy over the best structure of this formula in the dataset at 1180 meV per atom. The density of states at the Fermi level comes out at 3.04 states/eV/cell.

POSCAR file:
```
SiPCl2
1.0
3.0354 0.0000 0.0000
0.0000 4.1146 0.0000
0.0000 0.0000 5.9796
Cl P Si
2 1 1
direct
0.0000 0.0000 0.9963 Cl
0.0000 0.0000 0.5037 Cl
0.5000 0.5000 0.2500 P
0.5000 0.5000 0.7500 Si
```

---

## SiP2Cl (GGA-PBE)

Data for SiP2Cl after structural relaxation.

Results
The calculation puts the excess energy over the best structure of this formula in the dataset at 337 meV per atom. The density of states at the Fermi level comes out at 1.62 states/eV/cell.

POSCAR file:
```
SiP2Cl
1.0
-4.6037 1.1559 -3.1521
-5.6535 -0.3780 -0.6005
-1.2918 4.0563 1.9070
Cl P Si
1 2 1
direct
0.2500 0.2500 0.2500 Cl
0.0311 0.0311 0.8804 P
0.4689 0.4689 0.6196 P
0.7500 0.7500 0.7500 Si
```

---

## SiSnP2Cl (GGA-PBE)

Data for SiSnP2Cl after structural relaxation.

Results
The calculation puts the excess energy over the best structure of this formula in the dataset at 0 meV per atom. The density of states at the Fermi level comes out at 2.75 states/eV/cell.

POSCAR file:
```
SiSnP2Cl
1.0
-0.4367 1.6213 4.3351
-4.1090 -2.1400 0.3864
2.1601 -3.8484 1.6568
P Si Sn Cl
2 1 1 1
direct
0.0000 0.5000 0.0000 P
0.5000 0.0000 0.0000 P
0.0000 0.0000 0.0000 Si
0.5000 0.5000 0.5000 Sn
0.0000 0.0000 0.5000 Cl
```

---

## SiSnPCl2 (GGA-PBE)

Data for SiSnPCl2 after structural relaxation.

Results
The calculation puts the excess energy over the best structure of this formula in the dataset at 0 meV per atom. The density of states at the Fermi level comes out at 3.60 states/eV/cell.

POSCAR file:
```
SiSnPCl2
1.0
-2.8156 -1.1107 3.6460
-0.7966 -4.2614 -1.9133
3.8647 -1.8142 2.4318
P Si Sn Cl
1 1 1 2
direct
0.0000 0.0000 0.5000 P
0.0000 0.0000 0.0000 Si
0.5000 0.5000 0.5000 Sn
0.0000 0.5000 0.0000 Cl
0.5000 0.0000 0.0000 Cl
```

---

## SrSiP2Cl (GGA-PBE)

Data for SrSiP2Cl after structural relaxation.

Results
The calculation puts the excess energy over the best structure of this formula in the dataset at 0 meV per atom. The density of states at the Fermi level comes out at 1.83 states/eV/cell.

POSCAR file:
```
SrSiP2Cl
1.0
4.5230 0.0000 0.0000
0.0000 4.5230 0.0000
0.0000 0.0000 5.4654
Sr Si P Cl
1 1 2 1
direct
0.5000 0.5000 0.5000 Sr
0.0000 0.0000 0.0000 Si
0.0000 0.5000 0.0000 P
0.5000 0.0000 0.0000 P
0.0000 0.0000 0.5000 Cl
```

---

## SrSiP2Cl (GGA-PBE)

Data for SrSiP2Cl after structural relaxation.

Results
The calculation puts the excess energy over the best structure of this formula in the dataset at 1355 meV per atom. The density of states at the Fermi level comes out at 5.11 states/eV/cell.

POSCAR file:
```
SrSiP2Cl
1.0
-1.0640 -0.4774 -5.5858
-5.3458 -1.6264 1.1573
-1.5705 5.0668 -0.1339
Sr Si P Cl
1 1 2 1
direct
0.0000 0.0000 0.0000 Sr
0.5000 0.5000 0.5000 Si
0.0000 0.5000 0.0000 P
0.5000 0.0000 0.0000 P
0.0000 0.0000 0.5000 Cl
```

---

## TaSiP2Cl (GGA-PBE)

Data for TaSiP2Cl after structural relaxation.

Results
The calculation puts the excess energy over the best structure of this formula in the dataset at 0 meV per atom. The density of states at the Fermi level comes out at 3.26 states/eV/cell.

POSCAR file:
```
TaSiP2Cl
1.0
-2.4469 3.6353 -2.1557
0.1407 -2.4195 -4.2398
-4.0768 -2.1102 1.0689
P Si Cl Ta
2 1 1 1
direct
0.0000 0.5000 0.0000 P
0.5000 0.0000 0.0000 P
0.5000 0.5000 0.5000 Si
0.0000 0.0000 0.5000 Cl
0.0000 0.0000 0.0000 Ta
```

---

## TaSiP2Cl (GGA-PBE)

Data for TaSiP2Cl after structural relaxation.

Results
The calculation puts the excess energy over the best structure of this formula in the dataset at 366 meV per atom. The density of states at the Fermi level comes out at 3.36 states/eV/cell.

POSCAR file:
```
TaSiP2Cl
1.0
-3.3515 -3.0142 0.5443
-0.1825 -0.6089 -4.4956
2.9258 -3.1966 0.3141
P Si Cl Ta
2 1 1 1
direct
0.0000 0.5000 0.0000 P
0.5000 0.0000 0.0000 P
0.0000 0.0000 0.0000 Si
0.0000 0.0000 0.5000 Cl
0.5000 0.5000 0.5000 Ta
```

---

## SiTePCl2 (GGA-PBE)

Data for SiTePCl2 after structural relaxation.

Results
The calculation puts the excess energy over the best structure of this formula in the dataset at 0 meV per atom. The density of states at the Fermi level comes out at 2.98 states/eV/cell.

POSCAR file:
```
SiTePCl2
1.0
-1.7397 -3.6933 2.0075
2.6164 -2.6518 -2.6113
3.8073 0.1805 3.6315
P Si Te Cl
1 1 1 2
direct
0.0000 0.0000 0.5000 P
0.0000 0.0000 0.0000 Si
0.5000 0.5000 0.5000 Te
0.0000 0.5000 0.0000 Cl
0.5000 0.0000 0.0000 Cl
```

---

## SiTePCl2 (GGA-PBE)

Data for SiTePCl2 after structural relaxation.

Results
The calculation puts the excess energy over the best structure of this formula in the dataset at 601 meV per atom. The density of states at the Fermi level comes out at 2.52 states/eV/cell.

POSCAR file:
```
SiTePCl2
1.0
5.1216 0.0000 0.0000
0.0000 5.1216 0.0000
0.0000 0.0000 5.4393
P Si Te Cl
1 1 1 2
direct
0.0000 0.0000 0.5000 P
0.5000 0.5000 0.5000 Si
0.0000 0.0000 0.0000 Te
0.0000 0.5000 0.0000 Cl
0.5000 0.0000 0.0000 Cl
```

---

## TiSiPCl2 (GGA-PBE)

Data for TiSiPCl2 after structural relaxation.

Results
The calculation puts the excess energy over the best structure of this formula in the dataset at 324 meV per atom. The density of states at the Fermi level comes out at 5.47 states/eV/cell.

POSCAR file:
```
TiSiPCl2
1.0
-2.9452 -2.9361 -1.9691
2.4927 -3.5421 1.5532
-2.6470 -0.0766 4.0734
P Si Cl Ti
1 1 2 1
direct
0.0000 0.0000 0.5000 P
0.0000 0.0000 0.0000 Si
0.0000 0.5000 0.0000 Cl
0.5000 0.0000 0.0000 Cl
0.5000 0.5000 0.5000 Ti
```

---

## TiSiP2Cl (GGA-PBE)

Data for TiSiP2Cl after structural relaxation.

Results
The calculation puts the excess energy over the best structure of this formula in the dataset at 167 meV per atom. The density of states at the Fermi level comes out at 4.76 states/eV/cell.

POSCAR file:
```
TiSiP2Cl
1.0
4.5366 0.0000 0.0000
0.0000 4.5366 0.0000
0.0000 0.0000 4.5936
P Si Cl Ti
2 1 1 1
direct
0.0000 0.5000 0.0000 P
0.5000 0.0000 0.0000 P
0.0000 0.0000 0.0000 Si
0.0000 0.0000 0.5000 Cl
0.5000 0.5000 0.5000 Ti
```

---

## TiSiPCl2 (GGA-PBE)

Data for TiSiPCl2 after structural relaxation.

Results
The calculation puts the excess energy over the best structure of this formula in the dataset at 0 meV per atom. The density of states at the Fermi level comes out at 2.75 states/eV/cell.

POSCAR file:
```
TiSiPCl2
1.0
4.6232 0.0000 0.0000
0.0000 4.6232 0.0000
0.0000 0.0000 5.0844
P Si Cl Ti
1 1 2 1
direct
0.0000 0.0000 0.5000 P
0.5000 0.5000 0.5000 Si
0.0000 0.5000 0.0000 Cl
0.5000 0.0000 0.0000 Cl
0.0000 0.0000 0.0000 Ti
```

---

## TiSiP2Cl (GGA-PBE)

Data for TiSiP2Cl after structural relaxation.

Results
The calculation puts the excess energy over the best structure of this formula in the dataset at 0 meV per atom. The density of states at the Fermi level comes out at 2.66 states/eV/cell.

POSCAR file:
```
TiSiP2Cl
1.0
4.7991 0.0000 0.0000
0.0000 4.7991 0.0000
0.0000 0.0000 4.6011
P Si Cl Ti
2 1 1 1
direct
0.0000 0.5000 0.0000 P
0.5000 0.0000 0.0000 P
0.5000 0.5000 0.5000 Si
0.0000 0.0000 0.5000 Cl
0.0000 0.0000 0.0000 Ti
```

---

## TlSiP2Cl (GGA-PBE)

Data for TlSiP2Cl after structural relaxation.

Results
The calculation puts the excess energy over the best structure of this formula in the dataset at 975 meV per atom. The density of states at the Fermi level comes out at 4.94 states/eV/cell.

POSCAR file:
```
TlSiP2Cl
1.0
-0.1438 -5.0631 0.7753
2.8103 -0.7265 -4.2227
4.3730 0.3132 2.8564
P Tl Si Cl
2 1 1 1
direct
0.0000 0.5000 0.0000 P
0.5000 0.0000 0.0000 P
0.0000 0.0000 0.0000 Tl
0.5000 0.5000 0.5000 Si
0.0000 0.0000 0.5000 Cl
```

---

## TlSiP2Cl (GGA-PBE)

Data for TlSiP2Cl after structural relaxation.

Results
The calculation puts the excess energy over the best structure of this formula in the dataset at 0 meV per atom. The density of states at the Fermi level comes out at 1.59 states/eV/cell.

POSCAR file:
```
TlSiP2Cl
1.0
4.5000 0.0000 0.0000
0.0000 4.5000 0.0000
0.0000 0.0000 5.9388
P Tl Si Cl
2 1 1 1
direct
0.0000 0.5000 0.0000 P
0.5000 0.0000 0.0000 P
0.5000 0.5000 0.5000 Tl
0.0000 0.0000 0.0000 Si
0.0000 0.0000 0.5000 Cl
```

---

## VSiP2Cl (GGA-PBE)

Data for VSiP2Cl after structural relaxation.

Results
The calculation puts the excess energy over the best structure of this formula in the dataset at 381 meV per atom. The density of states at the Fermi level comes out at 6.83 states/eV/cell.

POSCAR file:
```
VSiP2Cl
1.0
4.5407 0.0000 0.0000
0.0000 4.5407 0.0000
0.0000 0.0000 4.4961
P Si Cl V
2 1 1 1
direct
0.0000 0.5000 0.0000 P
0.5000 0.0000 0.0000 P
0.0000 0.0000 0.0000 Si
0.0000 0.0000 0.5000 Cl
0.5000 0.5000 0.5000 V
```

---

## VSiP2Cl (GGA-PBE)

Data for VSiP2Cl after structural relaxation.

Results
The calculation puts the excess energy over the best structure of this formula in the dataset at 850 meV per atom. The density of states at the Fermi level comes out at 3.78 states/eV/cell.

POSCAR file:
```
VSiP2Cl
1.0
4.8002 0.0000 0.0000
0.0000 4.3489 0.0000
0.0000 0.0000 4.8002
P Si Cl V
2 1 1 1
direct
0.0000 0.0000 0.5000 P
0.5000 0.0000 0.0000 P
0.5000 0.5000 0.5000 Si
0.0000 0.0000 0.0000 Cl
0.0000 0.5000 0.0000 V
```

---

## VSiP2Cl (GGA-PBE)

Data for VSiP2Cl after structural relaxation.

Results
The calculation puts the excess energy over the best structure of this formula in the dataset at 0 meV per atom. The density of states at the Fermi level comes out at 2.71 states/eV/cell.

POSCAR file:
```
VSiP2Cl
1.0
-2.0949 -4.0871 -0.5234
4.0994 -2.0081 -0.7271
0.4114 -0.7858 4.4895
P Si Cl V
2 1 1 1
direct
0.0000 0.5000 0.0000 P
0.5000 0.0000 0.0000 P
0.5000 0.5000 0.5000 Si
0.0000 0.0000 0.5000 Cl
0.0000 0.0000 0.0000 V
```

---

## SiPWCl2 (GGA-PBE)

Data for SiPWCl2 after structural relaxation.

Results
The calculation puts the excess energy over the best structure of this formula in the dataset at 396 meV per atom. The density of states at the Fermi level comes out at 4.35 states/eV/cell.

POSCAR file:
```
SiPWCl2
1.0
-3.8463 -1.1940 2.0181
0.2766 -4.0809 -1.8873
2.5863 -1.6522 3.9517
P Si W Cl
1 1 1 2
direct
0.0000 0.0000 0.5000 P
0.0000 0.0000 0.0000 Si
0.5000 0.5000 0.5000 W
0.0000 0.5000 0.0000 Cl
0.5000 0.0000 0.0000 Cl
```

---

## SiPWCl2 (GGA-PBE)

Data for SiPWCl2 after structural relaxation.

Results
The calculation puts the excess energy over the best structure of this formula in the dataset at 0 meV per atom. The density of states at the Fermi level comes out at 5.38 states/eV/cell.

POSCAR file:
```
SiPWCl2
1.0
-4.4637 1.5645 0.2314
-1.4557 -3.7934 -2.4325
-0.6347 -2.4267 4.1640
P Si W Cl
1 1 1 2
direct
0.0000 0.0000 0.5000 P
0.5000 0.5000 0.5000 Si
0.0000 0.0000 0.0000 W
0.0000 0.5000 0.0000 Cl
0.5000 0.0000 0.0000 Cl
```

---

## ZnSiP2Cl (GGA-PBE)

Data for ZnSiP2Cl after structural relaxation.

Results
The calculation puts the excess energy over the best structure of this formula in the dataset at 0 meV per atom. The density of states at the Fermi level comes out at 3.96 states/eV/cell.

POSCAR file:
```
ZnSiP2Cl
1.0
4.5943 0.0000 0.0000
0.0000 4.5943 0.0000
0.0000 0.0000 4.6530
P Zn Si Cl
2 1 1 1
direct
0.0000 0.5000 0.0000 P
0.5000 0.0000 0.0000 P
0.5000 0.5000 0.5000 Zn
0.0000 0.0000 0.0000 Si
0.0000 0.0000 0.5000 Cl
```

---

## ZrSiPCl2 (GGA-PBE)

Data for ZrSiPCl2 after structural relaxation.

Results
The calculation puts the excess energy over the best structure of this formula in the dataset at 282 meV per atom. The density of states at the Fermi level comes out at 3.86 states/eV/cell.

POSCAR file:
```
ZrSiPCl2
1.0
-0.8241 -0.1370 4.5040
2.1104 -4.0572 0.2627
4.2433 2.2620 0.8452
P Si Zr Cl
1 1 1 2
direct
0.0000 0.0000 0.5000 P
0.0000 0.0000 0.0000 Si
0.5000 0.5000 0.5000 Zr
0.0000 0.5000 0.0000 Cl
0.5000 0.0000 0.0000 Cl
```

---

## ZrSiPCl2 (GGA-PBE)

Data for ZrSiPCl2 after structural relaxation.

Results
The calculation puts the excess energy over the best structure of this formula in the dataset at 0 meV per atom. The density of states at the Fermi level comes out at 2.84 states/eV/cell.

POSCAR file:
```
ZrSiPCl2
1.0
4.9235 0.0000 0.0000
0.0000 4.9235 0.0000
0.0000 0.0000 5.2708
P Si Zr Cl
1 1 1 2
direct
0.0000 0.0000 0.5000 P
0.5000 0.5000 0.5000 Si
0.0000 0.0000 0.0000 Zr
0.0000 0.5000 0.0000 Cl
0.5000 0.0000 0.0000 Cl
```

---

## Sm3PCl3 (GGA-PBE)

Data for Sm3PCl3 after structural relaxation.

Results
The total energy comes out at -5.392 eV/atom. The density of states at the Fermi level comes out at 4.12 states/eV/cell.

POSCAR file:
```
Sm3PCl3
1.0
-2.2103 -6.3675 -1.6449
4.5870 -4.9853 -1.4970
1.1197 -6.4530 8.8437
Sm P Cl
6 2 6
direct
0.9488 0.2886 0.1537 Sm
0.6089 0.9488 0.1537 Sm
0.2886 0.6089 0.1537 Sm
0.7114 0.3911 0.8463 Sm
0.3911 0.0512 0.8463 Sm
0.0512 0.7114 0.8463 Sm
0.6667 0.6667 0.0000 P
0.3333 0.3333 0.0000 P
0.2255 0.8943 0.3169 Cl
0.5632 0.2255 0.3169 Cl
0.8943 0.5632 0.3169 Cl
0.1057 0.4368 0.6831 Cl
0.4368 0.7745 0.6831 Cl
0.7745 0.1057 0.6831 Cl
```

---

Magnetic moment across the listed records, respectively: 0.0; 0.0; 0.0; 0.0; 0.0; 0.0; 0.0; 0.0; 0.0; 1.9; 0.0; 1.0; 0.4; 0.2; 1.7; 1.2; 0.4; 0.0; 0.6; 0.0; 0.2; 2.7; 0.0; 3.9; 1.4; 0.0; 1.5; 0.8; 0.0 μB per formula unit.